Record 1
LiAlSnHg: optimized geometry, PBE.

a = 6.922 Å, b = 6.922 Å, c = 6.922 Å
α = 90.00°, β = 90.00°, γ = 90.00°
Space group F-43m (No. 216)
Symmetry-distinct sites (fractional):
Li1 0.000 0.000 0.000 [4 per cell]
Al1 0.000 0.000 0.500 [4 per cell]
Sn1 0.250 0.250 0.750 [4 per cell]
Hg1 0.250 0.250 0.250 [4 per cell]

Summary:
V: 20.73 A^3/atom
DFT formation energy: -106 meV per atom

=====

Record 2
KTlAg2: optimized geometry, PBE.

a = 7.512 Å, b = 7.512 Å, c = 7.512 Å
α = 90.00°, β = 90.00°, γ = 90.00°
Space group Fm-3m (No. 225)
Symmetry-distinct sites (fractional):
K1 0.000 0.000 0.000 [4 per cell]
Tl1 0.000 0.000 0.500 [4 per cell]
Ag1 0.250 0.250 0.250 [8 per cell]

Summary:
V: 26.50 A^3/atom
Energy relative to the lowest polymorph listed for this composition: 0.1442 eV/atom
DFT formation energy: 153 meV per atom

=====

Record 3
AlCdFe2: optimized geometry, PBE.

a = 3.823 Å, b = 3.823 Å, c = 7.959 Å
α = 90.00°, β = 90.00°, γ = 90.00°
Space group I-4m2 (No. 119)
Symmetry-distinct sites (fractional):
Al1 0.000 0.000 0.000 [2 per cell]
Cd1 0.000 0.500 0.750 [2 per cell]
Fe1 0.000 0.000 0.500 [2 per cell]
Fe2 0.000 0.500 0.250 [2 per cell]

Summary:
V: 14.54 A^3/atom
Energy relative to the lowest polymorph listed for this composition: 0.1047 eV/atom
DFT formation energy: 154 meV per atom

=====

Record 4
Rb2HfI2Br4: optimized geometry, PBE.

a = 7.870 Å, b = 7.870 Å, c = 11.508 Å
α = 90.00°, β = 90.00°, γ = 90.00°
Space group I4/mmm (No. 139)
Symmetry-distinct sites (fractional):
Rb1 0.000 0.500 0.250 [4 per cell]
Hf1 0.000 0.000 0.000 [2 per cell]
I1 0.000 0.000 0.251 [4 per cell]
Br1 0.235 0.235 0.000 [8 per cell]

Summary:
V: 39.60 A^3/atom
E_form (uncorrected): -1.48 eV per atom

=====

Record 5
Ce2Ni12SnB3: optimized geometry, PBE.

a = 7.0395 Å, b = 7.0395 Å, c = 16.6485 Å
α = 90.00°, β = 90.00°, γ = 120.00°
Space group R-3m (No. 166, hexagonal axes)
Symmetry-distinct sites (fractional):
Ce1 0.0000 0.0000 0.0939 [6 per cell]
Ni1 0.0677 0.5339 0.3079 [18 per cell]
Ni2 0.0756 0.5378 0.8858 [18 per cell]
Sn1 0.0000 0.0000 0.5000 [3 per cell]
B1 0.0000 0.5000 0.0000 [9 per cell]

Summary:
V: 13.23 A^3/atom
DFT formation energy: -115 meV per atom

=====

Record 6
HfGaS2: optimized geometry, PBE.

a = 6.489 Å, b = 6.489 Å, c = 10.761 Å
α = 90.00°, β = 90.00°, γ = 90.00°
Space group I-42d (No. 122)
Symmetry-distinct sites (fractional):
Hf1 0.000 0.000 0.000 [4 per cell]
Ga1 0.000 0.000 0.500 [4 per cell]
S1 0.185 0.250 0.125 [8 per cell]

Summary:
V: 28.32 A^3/atom
E_form (uncorrected): -0.65 eV per atom

=====

Record 7
HfV2Ir: optimized geometry, PBE.

a = 6.230 Å, b = 6.230 Å, c = 6.230 Å
α = 90.00°, β = 90.00°, γ = 90.00°
Space group Fm-3m (No. 225)
Symmetry-distinct sites (fractional):
Hf1 0.000 0.000 0.000 [4 per cell]
V1 0.250 0.250 0.250 [8 per cell]
Ir1 0.000 0.000 0.500 [4 per cell]

Summary:
V: 15.11 A^3/atom
Energy relative to the lowest polymorph listed for this composition: 0.0000 eV/atom
DFT formation energy: -268 meV per atom

=====

Record 8
Cs4H5Ir: optimized geometry, PBE.

a = 9.419 Å, b = 9.419 Å, c = 5.912 Å
α = 90.00°, β = 90.00°, γ = 90.00°
Space group I4 (No. 79)
Symmetry-distinct sites (fractional):
Cs1 0.119 0.272 0.000 [8 per cell]
H1 0.000 0.000 0.199 [2 per cell]
H2 0.044 0.176 0.492 [8 per cell]
Ir1 0.000 0.000 0.478 [2 per cell]

Summary:
Electronic total energy: -3.025 eV per atom
V: 26.22 A^3/atom